Entry from Alexandria via LeMat-Bulk: a relaxed CaSn2WO crystal (PBE with a Hubbard U).

Calculated values
Total energy = -4.732 eV per atom

Cell lengths 4.855, 4.499, 4.855 Å; angles 90.00, 90.00, 90.00 degrees
Site moments in Bohr magnetons follow the coordinates.
Sites, in units of the cell vectors:
Sn 0.500 0.000 0.000  -0.10
Sn 0.000 0.000 0.500  -0.12
Ca 0.000 0.500 0.000  0.00
W 0.500 0.500 0.500  3.06
O 0.000 0.000 0.000  -0.02